(1)
A geometry-optimized K3CoB structure. Source: Alexandria, functional GGA-PBE.

Values from the calculation:
DOS at the Fermi energy = 19.47 states/eV per cell
Total DFT energy (no corrections) = -8.44 eV/cell
ΔE_f = 1727 meV per atom
Total moment = 0.4 μB/cell

Cell lengths 6.0499, 6.0499, 6.0499 Å; angles 90.00, 90.00, 90.00 degrees
Site moments in Bohr magnetons follow the coordinates.
Sites, in units of the cell vectors:
K 0.0000 0.5000 0.0000  0.00
K 0.0000 0.0000 0.5000  0.00
K 0.5000 0.0000 0.0000  0.01
B 0.5000 0.5000 0.5000  -0.02
Co 0.0000 0.0000 0.0000  -0.26


(2)
A geometry-optimized K2CoBMo structure. Source: Alexandria, functional GGA-PBE.

Values from the calculation:
DOS at the Fermi energy = 5.77 states/eV per cell
Total DFT energy (no corrections) = -18.70 eV/cell
ΔE_f = 1622 meV per atom
Total moment = 6.0 μB/cell

Cell lengths 6.3181, 3.7467, 6.3181 Å; angles 90.00, 90.00, 90.00 degrees
Site moments in Bohr magnetons follow the coordinates.
Sites, in units of the cell vectors:
Mo 0.5000 0.5000 0.5000  3.80
B 0.0000 0.5000 0.0000  -0.05
Co 0.0000 0.0000 0.0000  1.12
K 0.0000 0.0000 0.5000  0.02
K 0.5000 0.0000 0.0000  0.02